1.
This record from Alexandria describes YNClF2 after structural relaxation. The functional is PBE.

a = 4.2917 Å, b = 4.2917 Å, c = 5.0475 Å
α = 90.00°, β = 90.00°, γ = 90.00°
Space group P4/mmm (No. 123)
Symmetry-distinct sites (fractional):
Y (0.0000, 0.0000, 0.0000)
N (0.0000, 0.0000, 0.5000)
Cl (0.5000, 0.5000, 0.5000)
F (0.0000, 0.5000, 0.0000)

Calculated values
* crystal system: tetragonal
* DOS(E_F): 2.58 states/eV/f.u.
* ΔE to the lowest computed polymorph: 0.000 eV/atom
* raw formation energy: -758 kJ/mol of formula units
* density: 3.15 g/cm3


2.
This record from Alexandria describes PmPN2 after structural relaxation. The functional is PBE.

a = 2.8871 Å, b = 2.8871 Å, c = 20.5109 Å
α = 90.00°, β = 90.00°, γ = 120.00°
Space group R-3m (No. 166, hexagonal axes)
Symmetry-distinct sites (fractional):
Pm (0.0000, 0.0000, 0.0000)
P (0.0000, 0.0000, 0.5000)
N (0.0000, 0.0000, 0.1211)

Calculated values
* crystal system: trigonal
* DOS(E_F): 1.07 states/eV/f.u.
* ΔE to the lowest computed polymorph: 1.240 eV/atom
* raw formation energy: 107 kJ/mol of formula units
* density: 6.86 g/cm3


3.
This record from Alexandria describes Ca2BeSn after structural relaxation. The functional is PBE.

a = 4.7599 Å, b = 4.7599 Å, c = 20.8070 Å
α = 90.00°, β = 90.00°, γ = 90.00°
Space group I-42d (No. 122)
Symmetry-distinct sites (fractional):
Ca (0.2420, 0.2500, 0.1250)
Be (0.0000, 0.0000, 0.0000)
Sn (0.0000, 0.0000, 0.5000)

Calculated values
* crystal system: tetragonal
* ΔE_f: 43 kJ/mol of atoms
* DOS(E_F): 4.87 states/eV/f.u.
* ΔE to the lowest computed polymorph: 0.567 eV/atom
* density: 2.93 g/cm3


4.
This record from Alexandria describes TeOsO2F after structural relaxation. The functional is PBE.

a = 3.6738 Å, b = 3.6738 Å, c = 7.6343 Å
α = 90.00°, β = 90.00°, γ = 90.00°
Space group P4/mmm (No. 123)
Symmetry-distinct sites (fractional):
Te (0.0000, 0.0000, 0.0000)
Os (0.5000, 0.5000, 0.5000)
O (0.0000, 0.5000, 0.5000)
F (0.5000, 0.5000, 0.0000)

Calculated values
* crystal system: tetragonal
* DOS(E_F): 4.27 states/eV/f.u.
* raw formation energy: -263 kJ/mol of formula units
* density: 5.94 g/cm3


5.
This record from Alexandria describes InGaSb2 after structural relaxation. The functional is PBE.

a = 6.4292 Å, b = 6.4292 Å, c = 12.7874 Å
α = 90.00°, β = 90.00°, γ = 90.00°
Space group I-42d (No. 122)
Symmetry-distinct sites (fractional):
In (0.0000, 0.0000, 0.0000)
Ga (0.0000, 0.0000, 0.5000)
Sb (0.2279, 0.2500, 0.6250)

Calculated values
* crystal system: tetragonal
* DOS(E_F): 0.02 states/eV/f.u.
* ΔE to the lowest computed polymorph: 0.000 eV/atom
* raw formation energy: -53 kJ/mol of formula units
* density: 5.38 g/cm3


6.
This record from Alexandria describes LiCuSn2 after structural relaxation. The functional is PBE.

a = 4.3702 Å, b = 4.3702 Å, c = 15.7404 Å
α = 90.00°, β = 90.00°, γ = 120.00°
Space group R3m (No. 160, hexagonal axes)
Symmetry-distinct sites (fractional):
Li (0.0000, 0.0000, 0.0000)
Cu (0.0000, 0.0000, 0.1788)
Sn (0.0000, 0.0000, 0.5731)
Sn (0.0000, 0.0000, 0.7762)

Calculated values
* crystal system: trigonal
* ΔE_f: -10 kJ/mol of atoms
* DOS(E_F): 1.57 states/eV/f.u.
* ΔE to the lowest computed polymorph: 0.029 eV/atom
* density: 5.89 g/cm3